No. 1
First-principles (GGA-PBE) data for a relaxed MgZnF3 crystal, as listed in the Alexandria database.

Calculated values
- DOS at the Fermi energy (states/eV per atom) = 0.238
- total energy (eV/cell) = -18.40
- formation energy from raw total energies (eV/atom) = -1.984
- excess energy over the best structure of this formula in the dataset (meV per atom) = 448

```
5
Lattice="4.108 0.000 0.000 0.000 4.108 0.000 0.000 0.000 4.108" Properties=species:S:1:pos:R:3 pbc="T T T"
Mg 0.000 0.000 0.000
Zn 2.054 2.054 2.054
F 0.000 2.054 2.054
F 2.054 0.000 2.054
F 2.054 2.054 0.000
```

=====

No. 2
First-principles (GGA-PBE) data for a relaxed Ti2PtWN crystal, as listed in the Alexandria database.

Calculated values
- DOS at the Fermi energy (states/eV per atom) = 1.099
- total energy (eV/cell) = -47.42
- formation energy from raw total energies (eV/atom) = -0.862

```
5
Lattice="4.139 0.000 0.000 0.000 4.139 0.000 0.000 0.000 4.038" Properties=species:S:1:pos:R:3 pbc="T T T"
Ti 0.000 2.069 0.000
Ti 2.069 0.000 0.000
Pt 0.000 0.000 2.019
W 2.069 2.069 2.019
N 2.069 2.069 0.000
```

=====

No. 3
First-principles (GGA-PBE) data for a relaxed TaReSbI2 crystal, as listed in the Alexandria database.

Calculated values
- DOS at the Fermi energy (states/eV per atom) = 0.792
- total energy (eV/cell) = -23.67
- formation energy from raw total energies (eV/atom) = 1.570
- excess energy over the best structure of this formula in the dataset (meV per atom) = 0

```
5
Lattice="5.473 0.000 0.000 0.000 5.473 0.000 0.000 0.000 5.518" Properties=species:S:1:pos:R:3 pbc="T T T"
Ta 0.000 0.000 0.000
Re 2.736 2.736 2.759
Sb 0.000 0.000 2.759
I 0.000 2.736 0.000
I 2.736 0.000 0.000
```

=====

No. 4
First-principles (GGA-PBE) data for a relaxed AgSbIr2Ru crystal, as listed in the Alexandria database.

Calculated values
- DOS at the Fermi energy (states/eV per atom) = 1.575
- total energy (eV/cell) = -22.61
- formation energy from raw total energies (eV/atom) = 2.273

```
5
Lattice="4.856 0.000 0.000 0.000 4.856 0.000 0.000 0.000 4.874" Properties=species:S:1:pos:R:3 pbc="T T T"
Ag 0.000 0.000 0.000
Sb 0.000 0.000 2.437
Ir 0.000 2.428 0.000
Ir 2.428 0.000 0.000
Ru 2.428 2.428 2.437
```

=====

No. 5
First-principles (GGA-PBE) data for a relaxed Nd5CSe4 crystal, as listed in the Alexandria database.

Calculated values
- DOS at the Fermi energy (states/eV per atom) = 0.407
- total energy (eV/cell) = -61.73
- formation energy from raw total energies (eV/atom) = -1.473
- excess energy over the best structure of this formula in the dataset (meV per atom) = 46

```
10
Lattice="-2.076 2.076 14.840 2.076 -2.076 14.840 2.076 2.076 -14.840" Properties=species:S:1:pos:R:3 pbc="T T T"
Nd 0.000 0.000 0.000
Nd 0.000 0.000 6.060
Nd 0.000 0.000 12.362
Nd 0.000 0.000 17.318
Nd 0.000 0.000 23.620
C 0.000 0.000 14.840
Se 0.000 0.000 2.975
Se 0.000 0.000 9.087
Se 0.000 0.000 20.593
Se 0.000 0.000 26.705
```

=====

No. 6
First-principles (GGA-PBE) data for a relaxed Li4FeN2 crystal, as listed in the Alexandria database.

Calculated values
- DOS at the Fermi energy (states/eV per atom) = 0.557
- total energy (eV/cell) = -29.83
- formation energy from raw total energies (eV/atom) = 0.420
- excess energy over the best structure of this formula in the dataset (meV per atom) = 685

```
7
Lattice="-2.405 2.405 5.194 2.405 -2.405 5.194 2.405 2.405 -5.194" Properties=species:S:1:pos:R:3 pbc="T T T"
Li 2.405 0.000 0.000
Li 0.000 0.000 2.481
Li 0.000 2.405 0.000
Li 0.000 0.000 7.908
Fe 0.000 0.000 5.194
N 0.000 0.000 0.608
N 0.000 0.000 9.781
```

=====

No. 7
First-principles (GGA-PBE) data for a relaxed Y2TiHg2 crystal, as listed in the Alexandria database.

Calculated values
- DOS at the Fermi energy (states/eV per atom) = 1.362
- total energy (eV/cell) = -44.50
- DFT formation energy (kJ/mol of formula units) = -80

```
10
Lattice="7.493 0.000 0.000 0.000 7.493 0.000 0.000 0.000 4.538" Properties=species:S:1:pos:R:3 pbc="T T T"
Y 1.284 2.462 0.000
Y 2.462 6.209 0.000
Y 5.031 1.284 0.000
Y 6.209 5.031 0.000
Ti 0.000 0.000 2.269
Ti 3.746 3.746 2.269
Hg 1.038 4.784 2.269
Hg 2.708 1.038 2.269
Hg 4.784 6.455 2.269
Hg 6.455 2.708 2.269
```

=====

No. 8
First-principles (GGA-PBE) data for a relaxed LaOsPb2 crystal, as listed in the Alexandria database.

Calculated values
- DOS at the Fermi energy (states/eV per atom) = 0.999
- total energy (eV/cell) = -22.44
- DFT formation energy (kJ/mol of formula units) = 109
- excess energy over the best structure of this formula in the dataset (meV per atom) = 210

```
4
Lattice="3.476 0.000 0.000 0.000 3.476 0.000 0.000 0.000 8.017" Properties=species:S:1:pos:R:3 pbc="T T T"
La 0.000 0.000 0.000
Os 0.000 0.000 4.008
Pb 1.738 1.738 2.373
Pb 1.738 1.738 5.644
```

=====

No. 9
First-principles (GGA-PBE) data for a relaxed AgBiF4 crystal, as listed in the Alexandria database.

Calculated values
- DOS at the Fermi energy (states/eV per atom) = 0.000
- total energy (eV/cell) = -51.83
- formation energy from raw total energies (eV/atom) = -1.949
- excess energy over the best structure of this formula in the dataset (meV per atom) = 27

```
12
Lattice="-3.879 3.879 3.798 3.879 -3.879 3.798 3.879 3.879 -3.798" Properties=species:S:1:pos:R:3 pbc="T T T"
Ag 0.000 0.000 0.000
Ag 0.000 3.879 1.899
Bi 3.879 0.000 1.825
Bi 0.000 0.000 3.724
F 2.410 0.000 0.196
F 5.349 0.000 0.196
F 3.879 2.410 -1.703
F 0.000 1.470 2.096
F 1.583 3.879 -0.160
F 2.296 0.000 3.638
F 3.879 2.296 1.739
F 0.000 1.583 5.537
```

=====

No. 10
First-principles (GGA-PBE) data for a relaxed CrSn2HgSe crystal, as listed in the Alexandria database.

Calculated values
- DOS at the Fermi energy (states/eV per atom) = 0.640
- total energy (eV/cell) = -19.15
- formation energy from raw total energies (eV/atom) = 0.453

```
5
Lattice="5.678 0.000 0.000 0.000 5.678 0.000 0.000 0.000 4.690" Properties=species:S:1:pos:R:3 pbc="T T T"
Cr 0.000 0.000 0.000
Sn 0.000 2.839 2.345
Sn 2.839 0.000 2.345
Hg 2.839 2.839 0.000
Se 0.000 0.000 2.345
```

=====

No. 11
First-principles (GGA-PBE) data for a relaxed NaLaBe2Te crystal, as listed in the Alexandria database.

Calculated values
- DOS at the Fermi energy (states/eV per atom) = 0.435
- total energy (eV/cell) = -13.43
- formation energy from raw total energies (eV/atom) = 0.682

```
5
Lattice="4.945 0.000 0.000 0.000 4.945 0.000 0.000 0.000 5.930" Properties=species:S:1:pos:R:3 pbc="T T T"
Na 0.000 0.000 0.000
La 2.473 2.473 0.000
Be 0.000 2.473 2.965
Be 2.473 0.000 2.965
Te 2.473 2.473 2.965
```

=====

No. 12
First-principles (GGA-PBE) data for a relaxed GaFeNi3 crystal, as listed in the Alexandria database.

Calculated values
- DOS at the Fermi energy (states/eV per atom) = 1.060
- total energy (eV/cell) = -54.78
- DFT formation energy (kJ/mol of formula units) = 139
- excess energy over the best structure of this formula in the dataset (meV per atom) = 354

```
10
Lattice="5.973 0.000 0.000 -2.986 5.173 0.000 0.000 0.000 4.291" Properties=species:S:1:pos:R:3 pbc="T T T"
Ga 0.000 3.448 1.073
Ga 2.986 1.724 3.218
Fe 0.000 0.000 0.000
Fe 0.000 0.000 2.145
Ni 0.000 2.076 3.218
Ni -1.188 4.135 3.218
Ni 1.798 1.038 1.073
Ni 1.188 4.135 3.218
Ni 4.175 1.038 1.073
Ni 2.986 3.096 1.073
```

=====

No. 13
First-principles (GGA-PBE) data for a relaxed AcNd2Ni crystal, as listed in the Alexandria database.

Calculated values
- DOS at the Fermi energy (states/eV per atom) = 1.242
- total energy (eV/cell) = -80.17
- DFT formation energy (kJ/mol of formula units) = -60
- excess energy over the best structure of this formula in the dataset (meV per atom) = 0

```
16
Lattice="7.258 0.000 0.000 0.000 10.224 0.000 0.000 0.000 6.659" Properties=species:S:1:pos:R:3 pbc="T T T"
Ac 0.267 2.556 0.971
Ac 3.362 7.668 4.301
Ac 3.896 2.556 2.358
Ac 6.990 7.668 5.688
Nd 1.259 0.709 4.481
Nd 1.259 4.403 4.481
Nd 2.370 5.821 1.152
Nd 2.370 9.515 1.152
Nd 4.888 0.709 5.507
Nd 4.888 4.403 5.507
Nd 5.998 5.821 2.178
Nd 5.998 9.515 2.178
Ni 0.824 7.668 2.761
Ni 2.805 2.556 6.090
Ni 4.453 7.668 0.568
Ni 6.434 2.556 3.898
```

=====

No. 14
First-principles (GGA-PBE) data for a relaxed CoNi2Hg crystal, as listed in the Alexandria database.

Calculated values
- DOS at the Fermi energy (states/eV per atom) = 1.581
- total energy (eV/cell) = -33.06
- DFT formation energy (kJ/mol of formula units) = 235

```
8
Lattice="-1.854 1.854 8.635 1.854 -1.854 8.635 1.854 1.854 -8.635" Properties=species:S:1:pos:R:3 pbc="T T T"
Co 0.000 0.000 0.000
Co 0.000 1.854 4.317
Ni 2.781 0.778 -2.159
Ni 0.778 0.927 2.159
Ni -0.927 1.076 6.476
Ni 1.076 0.927 10.794
Hg 1.854 0.000 4.317
Hg 0.000 0.000 8.635
```

=====

No. 15
First-principles (GGA-PBE) data for a relaxed Tl4AgOs3O12 crystal, as listed in the Alexandria database.

Calculated values
- DOS at the Fermi energy (states/eV per atom) = 0.858
- total energy (eV/cell) = -118.84
- formation energy from raw total energies (eV/atom) = -0.667

```
20
Lattice="-4.116 4.116 4.116 4.116 -4.116 4.116 4.116 4.116 -4.116" Properties=species:S:1:pos:R:3 pbc="T T T"
Tl 2.058 2.058 -2.058
Tl 2.058 -2.058 2.058
Tl -2.058 2.058 2.058
Tl 2.058 2.058 2.058
Ag 0.000 0.000 0.000
Os 4.116 0.000 0.000
Os 0.000 4.116 0.000
Os 0.000 0.000 4.116
O 2.301 0.000 0.000
O 5.930 0.000 0.000
O 4.116 2.058 0.000
O 4.116 0.000 2.058
O 0.000 2.301 0.000
O 0.000 0.000 2.301
O 2.058 4.116 0.000
O 2.058 0.000 4.116
O 0.000 5.930 0.000
O 0.000 0.000 5.930
O 0.000 4.116 2.058
O 0.000 2.058 4.116
```

=====

No. 16
First-principles (GGA-PBE) data for a relaxed V2BiSbIr crystal, as listed in the Alexandria database.

Calculated values
- DOS at the Fermi energy (states/eV per atom) = 2.453
- total energy (eV/cell) = -25.59
- formation energy from raw total energies (eV/atom) = 1.901

```
5
Lattice="4.774 0.000 0.000 0.000 4.774 0.000 0.000 0.000 5.594" Properties=species:S:1:pos:R:3 pbc="T T T"
V 0.000 2.387 0.000
V 2.387 0.000 0.000
Bi 0.000 0.000 2.797
Sb 0.000 0.000 0.000
Ir 2.387 2.387 2.797
```

=====

No. 17
First-principles (GGA-PBE) data for a relaxed Rb2BeI5 crystal, as listed in the Alexandria database.

Calculated values
- DOS at the Fermi energy (states/eV per atom) = 0.073
- total energy (eV/cell) = -20.58
- formation energy from raw total energies (eV/atom) = -0.896

```
8
Lattice="7.329 0.000 0.000 -1.193 7.387 0.000 -0.718 -0.640 7.428" Properties=species:S:1:pos:R:3 pbc="T T T"
Rb 0.000 0.000 0.000
Rb 0.698 3.408 3.890
Be 2.893 2.218 7.219
I -0.621 6.985 3.793
I 1.351 3.589 0.200
I 2.848 -0.070 6.242
I 4.056 3.695 5.748
I 4.746 2.178 1.803
```

=====

No. 18
First-principles (GGA-PBE) data for a relaxed GaSnI2Cl crystal, as listed in the Alexandria database.

Calculated values
- DOS at the Fermi energy (states/eV per atom) = 0.000
- total energy (eV/cell) = -29.59
- formation energy from raw total energies (eV/atom) = -0.564

```
10
Lattice="2.273 -7.459 0.000 2.273 7.459 0.000 0.000 0.000 10.609" Properties=species:S:1:pos:R:3 pbc="T T T"
Ga 2.273 4.300 7.957
Ga 2.273 -4.300 2.652
Sn 2.273 0.000 0.000
Sn 2.273 0.000 5.305
I 2.273 5.306 0.616
I 2.273 5.306 4.689
I 2.273 -5.306 5.920
I 2.273 -5.306 9.993
Cl 2.273 1.189 2.652
Cl 2.273 -1.189 7.957
```

=====

No. 19
First-principles (GGA-PBE) data for a relaxed BaPmIn6 crystal, as listed in the Alexandria database.

Calculated values
- DOS at the Fermi energy (states/eV per atom) = 0.512
- total energy (eV/cell) = -25.75
- DFT formation energy (kJ/mol of formula units) = -256

```
8
Lattice="5.021 0.000 0.000 0.000 7.068 0.000 0.000 0.000 6.572" Properties=species:S:1:pos:R:3 pbc="T T T"
Ba 0.000 0.000 0.000
Pm 2.511 3.534 1.639
In 0.000 1.931 3.125
In 0.000 3.534 6.055
In 0.000 5.137 3.125
In 2.511 0.000 2.548
In 2.511 1.939 5.044
In 2.511 5.129 5.044
```

=====

No. 20
First-principles (GGA-PBE) data for a relaxed Sn2PbAu3 crystal, as listed in the Alexandria database.

Calculated values
- DOS at the Fermi energy (states/eV per atom) = 0.293
- total energy (eV/cell) = -44.43
- DFT formation energy (kJ/mol of formula units) = -65

```
12
Lattice="5.734 0.000 0.000 0.000 4.414 0.000 0.000 0.000 11.752" Properties=species:S:1:pos:R:3 pbc="T T T"
Sn 1.434 0.000 1.226
Sn 1.434 2.207 9.194
Sn 4.301 0.000 10.526
Sn 4.301 2.207 2.559
Pb 1.434 2.207 5.187
Pb 4.301 2.207 6.565
Au 0.000 2.207 0.000
Au 0.010 0.000 8.030
Au 2.857 0.000 8.030
Au 2.867 2.207 0.000
Au 2.877 0.000 3.722
Au 5.724 0.000 3.722
```

=====

No. 21
First-principles (GGA-PBE) data for a relaxed Sr2TcSeN crystal, as listed in the Alexandria database.

Calculated values
- DOS at the Fermi energy (states/eV per atom) = 0.463
- total energy (eV/cell) = -29.08
- formation energy from raw total energies (eV/atom) = -0.708

```
5
Lattice="5.447 0.000 0.000 0.000 5.447 0.000 0.000 0.000 3.901" Properties=species:S:1:pos:R:3 pbc="T T T"
Sr 0.000 2.724 0.000
Sr 2.724 0.000 0.000
Tc 0.000 0.000 1.950
Se 2.724 2.724 1.950
N 0.000 0.000 0.000
```

=====

No. 22
First-principles (GGA-PBE) data for a relaxed MnTe2Au crystal, as listed in the Alexandria database.

Calculated values
- DOS at the Fermi energy (states/eV per atom) = 0.412
- total energy (eV/cell) = -37.59
- formation energy from raw total energies (eV/atom) = -0.016
- excess energy over the best structure of this formula in the dataset (meV per atom) = 74

```
8
Lattice="4.694 0.000 0.000 0.000 7.129 0.000 -1.471 0.000 6.571" Properties=species:S:1:pos:R:3 pbc="T T T"
Mn 0.448 0.000 2.312
Mn 2.774 0.000 4.260
Te 0.000 5.624 0.000
Te 0.418 1.168 4.886
Te 1.611 4.950 3.286
Te 2.805 1.168 1.686
Au 0.084 3.804 5.329
Au 3.139 3.804 1.242
```

=====

No. 23
First-principles (GGA-PBE) data for a relaxed UPb3 crystal, as listed in the Alexandria database.

Calculated values
- DOS at the Fermi energy (states/eV per atom) = 2.338
- total energy (eV/cell) = -21.56
- DFT formation energy (kJ/mol of formula units) = 82

```
4
Lattice="-2.313 2.313 5.332 2.313 -2.313 5.332 2.313 2.313 -5.332" Properties=species:S:1:pos:R:3 pbc="T T T"
U 0.000 0.000 0.000
Pb 2.313 0.000 2.666
Pb 0.000 0.000 5.332
Pb 0.000 2.313 2.666
```

=====

No. 24
First-principles (GGA-PBE) data for a relaxed PPbI3 crystal, as listed in the Alexandria database.

Calculated values
- DOS at the Fermi energy (states/eV per atom) = 2.074
- total energy (eV/cell) = -11.38
- formation energy from raw total energies (eV/atom) = 0.478
- excess energy over the best structure of this formula in the dataset (meV per atom) = 311

```
5
Lattice="6.232 0.000 0.000 0.000 6.232 0.000 0.000 0.000 6.232" Properties=species:S:1:pos:R:3 pbc="T T T"
P 0.000 0.000 0.000
Pb 3.116 3.116 3.116
I 0.000 3.116 3.116
I 3.116 0.000 3.116
I 3.116 3.116 0.000
```

=====

No. 25
First-principles (GGA-PBE) data for a relaxed MgTlTc2 crystal, as listed in the Alexandria database.

Calculated values
- DOS at the Fermi energy (states/eV per atom) = 0.846
- total energy (eV/cell) = -22.71
- DFT formation energy (kJ/mol of formula units) = 191
- excess energy over the best structure of this formula in the dataset (meV per atom) = 330

```
4
Lattice="2.888 0.000 0.000 0.000 4.734 0.000 -0.421 0.000 5.242" Properties=species:S:1:pos:R:3 pbc="T T T"
Mg 0.000 0.000 0.000
Tl 1.234 0.000 2.621
Tc 0.658 2.367 4.106
Tc 1.810 2.367 1.137
```